The following is a DFT calculation (GGA-PBE) of GdNiPt after structural relaxation.

* space-group type: No. 107
* energy above the most stable polymorph in this dataset: 253.0 meV/atom
* magnetization: 7.17 μB/f.u.

```
GdNiPt
1.0
3.498 0.000 0.000
0.000 3.498 0.000
0.000 0.000 9.009
Gd Ni Pt
2 2 2
direct
0.000 0.000 0.000
0.500 0.500 0.500
0.000 0.000 0.684
0.500 0.500 0.184
0.000 0.000 0.321
0.500 0.500 0.821
```